! YTh3, relaxed, DFT PBE; values from VASP
&SYSTEM
  ibrav = 0, nat = 4, ntyp = 2
/
ATOMIC_SPECIES
Th 232.04 Th.upf
Y 88.91 Y.upf
ATOMIC_POSITIONS crystal
Th 0.7500 0.2500 0.5000
Th 0.2500 0.7500 0.5000
Th 0.5000 0.5000 0.0000
Y 0.0000 0.0000 0.0000
CELL_PARAMETERS angstrom
-3.1841 -3.3558 2.0127
3.2083 -3.7244 -1.1341
2.2419 4.1077 4.0729
! - total moment (μB per cell) = 0.00
! - SG = No. 139
! - ΔE_f (eV per atom) = 0.051
! - density (kg/m3) = 10091
! - energy above the lowest structure with this stoichiometry (meV per atom) = 6

! Y3Th, relaxed, DFT PBE; values from VASP
&SYSTEM
  ibrav = 0, nat = 4, ntyp = 2
/
ATOMIC_SPECIES
Y 88.91 Y.upf
Th 232.04 Th.upf
ATOMIC_POSITIONS crystal
Y 0.0000 0.0000 0.0000
Y 0.2500 0.2500 0.2500
Y 0.7500 0.7500 0.7500
Th 0.5000 0.5000 0.5000
CELL_PARAMETERS angstrom
-1.5170 3.4317 4.2851
-5.5106 1.0142 1.0222
-2.4812 -2.1701 4.6448
! - total moment (μB per cell) = 0.00
! - SG = No. 225
! - ΔE_f (eV per atom) = 0.146
! - density (kg/m3) = 6339
! - energy above the lowest structure with this stoichiometry (meV per atom) = 118

! YTh, relaxed, DFT PBE; values from VASP
&SYSTEM
  ibrav = 0, nat = 2, ntyp = 2
/
ATOMIC_SPECIES
Th 232.04 Th.upf
Y 88.91 Y.upf
ATOMIC_POSITIONS crystal
Th 0.0000 0.0000 0.0000
Y 0.5000 0.5000 0.5000
CELL_PARAMETERS angstrom
3.5092 0.5904 0.0000
-0.5904 3.5092 0.0000
0.0000 0.0000 5.1096
! - total moment (μB per cell) = 0.00
! - SG = No. 123
! - ΔE_f (eV per atom) = 0.055
! - density (kg/m3) = 8236
! - energy above the lowest structure with this stoichiometry (meV per atom) = 47

! YTh, relaxed, DFT PBE; values from VASP
&SYSTEM
  ibrav = 0, nat = 4, ntyp = 2
/
ATOMIC_SPECIES
Y 88.91 Y.upf
Th 232.04 Th.upf
ATOMIC_POSITIONS crystal
Y 0.2496 0.7500 0.0896
Y 0.7504 0.2500 0.9104
Th 0.7494 0.7500 0.5760
Th 0.2506 0.2500 0.4240
CELL_PARAMETERS angstrom
3.5662 0.0000 0.2538
0.0000 5.8500 0.0000
-0.4389 0.0000 6.1936
! - total moment (μB per cell) = 0.00
! - SG = No. 59
! - ΔE_f (eV per atom) = 0.053
! - density (kg/m3) = 8208
! - energy above the lowest structure with this stoichiometry (meV per atom) = 45

! YTh2, relaxed, DFT PBE; values from VASP
&SYSTEM
  ibrav = 0, nat = 6, ntyp = 2
/
ATOMIC_SPECIES
Th 232.04 Th.upf
Y 88.91 Y.upf
ATOMIC_POSITIONS crystal
Th 0.1250 0.6250 0.6250
Th 0.6250 0.6250 0.1250
Th 0.6250 0.6250 0.6250
Th 0.6250 0.1250 0.6250
Y 0.0000 0.0000 0.0000
Y 0.2500 0.2500 0.2500
CELL_PARAMETERS angstrom
6.6329 0.0000 0.0000
3.3164 5.7443 0.0000
3.3164 1.9148 5.4157
! - total moment (μB per cell) = 0.00
! - SG = No. 227
! - ΔE_f (eV per atom) = 0.257
! - density (kg/m3) = 8900
! - energy above the lowest structure with this stoichiometry (meV per atom) = 233

! Y5Th3, relaxed, DFT PBE; values from VASP
&SYSTEM
  ibrav = 0, nat = 8, ntyp = 2
/
ATOMIC_SPECIES
Th 232.04 Th.upf
Y 88.91 Y.upf
ATOMIC_POSITIONS crystal
Th 0.5000 0.5000 0.1253
Th 0.0000 0.0000 0.5000
Th 0.5000 0.5000 0.8747
Y 0.5000 0.5000 0.6203
Y 0.0000 0.0000 0.7538
Y 0.0000 0.0000 0.2462
Y 0.0000 0.0000 0.0000
Y 0.5000 0.5000 0.3797
CELL_PARAMETERS angstrom
3.5802 0.0000 0.0000
0.0000 3.5802 0.0000
0.0000 0.0000 20.2294
! - total moment (μB per cell) = 0.00
! - SG = No. 123
! - ΔE_f (eV per atom) = 0.030
! - density (kg/m3) = 7305
! - energy above the lowest structure with this stoichiometry (meV per atom) = 0

! YThZn, relaxed, DFT PBE; values from VASP
&SYSTEM
  ibrav = 0, nat = 3, ntyp = 3
/
ATOMIC_SPECIES
Zn 65.41 Zn.upf
Th 232.04 Th.upf
Y 88.91 Y.upf
ATOMIC_POSITIONS crystal
Zn 0.4070 0.3333 0.6667
Th 0.0290 0.0000 0.0000
Y 0.5640 0.6667 0.3333
CELL_PARAMETERS angstrom
-2.9468 2.1689 -0.3066
-3.0223 -4.0568 0.3501
1.3969 2.4903 4.1906
! - total moment (μB per cell) = 0.00
! - SG = No. 156
! - ΔE_f (eV per atom) = 0.054
! - density (kg/m3) = 7846
! - energy above the lowest structure with this stoichiometry (meV per atom) = 197

! Y2ThZn, relaxed, DFT PBE; values from VASP
&SYSTEM
  ibrav = 0, nat = 4, ntyp = 3
/
ATOMIC_SPECIES
Zn 65.41 Zn.upf
Y 88.91 Y.upf
Th 232.04 Th.upf
ATOMIC_POSITIONS crystal
Zn 0.6662 0.6662 0.0013
Y 0.0713 0.0713 0.7862
Y 0.2620 0.2620 0.2141
Th 0.5005 0.5005 0.4984
CELL_PARAMETERS angstrom
3.5908 0.0000 0.0000
1.7954 3.1097 0.0000
1.7954 1.0366 10.3583
! - total moment (μB per cell) = 0.00
! - SG = No. 160
! - ΔE_f (eV per atom) = -0.033
! - density (kg/m3) = 6823
! - energy above the lowest structure with this stoichiometry (meV per atom) = 137

! Y2ThZn4, relaxed, DFT PBE; values from VASP
&SYSTEM
  ibrav = 0, nat = 7, ntyp = 3
/
ATOMIC_SPECIES
Y 88.91 Y.upf
Zn 65.41 Zn.upf
Th 232.04 Th.upf
ATOMIC_POSITIONS crystal
Y 0.2784 0.2784 0.5567
Y 0.7216 0.7216 0.4433
Zn 0.8849 0.3849 0.7697
Zn 0.1151 0.6151 0.2303
Zn 0.6151 0.1151 0.2303
Zn 0.3849 0.8849 0.7697
Th 0.0000 0.0000 0.0000
CELL_PARAMETERS angstrom
-4.8205 -1.6774 -1.3277
0.6930 1.8724 -4.8813
4.4497 -5.5629 1.3468
! - total moment (μB per cell) = 0.00
! - SG = No. 139
! - ΔE_f (eV per atom) = -0.089
! - density (kg/m3) = 6448

! YThZn, relaxed, DFT PBE; values from VASP
&SYSTEM
  ibrav = 0, nat = 6, ntyp = 3
/
ATOMIC_SPECIES
Zn 65.41 Zn.upf
Th 232.04 Th.upf
Y 88.91 Y.upf
ATOMIC_POSITIONS crystal
Zn 0.5673 0.7500 0.1346
Zn 0.4327 0.2500 0.8654
Th 0.7771 0.2500 0.5541
Th 0.2229 0.7500 0.4459
Y 0.9234 0.7500 0.8468
Y 0.0766 0.2500 0.1532
CELL_PARAMETERS angstrom
3.5849 0.0000 0.0000
0.0000 5.2995 0.0000
-1.7925 0.0000 8.5035
! - total moment (μB per cell) = 0.00
! - SG = No. 63
! - ΔE_f (eV per atom) = -0.142
! - density (kg/m3) = 7942
! - energy above the lowest structure with this stoichiometry (meV per atom) = 1

! YThZn2, relaxed, DFT PBE; values from VASP
&SYSTEM
  ibrav = 0, nat = 4, ntyp = 3
/
ATOMIC_SPECIES
Zn 65.41 Zn.upf
Y 88.91 Y.upf
Th 232.04 Th.upf
ATOMIC_POSITIONS crystal
Zn 0.0000 0.0000 0.2666
Zn 0.0000 0.0000 0.7334
Y 0.5000 0.5000 0.5000
Th 0.5000 0.5000 0.0000
CELL_PARAMETERS angstrom
3.5836 0.0000 0.0000
0.0000 3.5836 0.0000
0.0000 0.0000 7.3959
! - total moment (μB per cell) = 0.00
! - SG = No. 123
! - ΔE_f (eV per atom) = -0.260
! - density (kg/m3) = 7898
! - energy above the lowest structure with this stoichiometry (meV per atom) = 0

! Y2ThZn3, relaxed, DFT PBE; values from VASP
&SYSTEM
  ibrav = 0, nat = 6, ntyp = 3
/
ATOMIC_SPECIES
Zn 65.41 Zn.upf
Y 88.91 Y.upf
Th 232.04 Th.upf
ATOMIC_POSITIONS crystal
Zn 0.3333 0.6667 0.1639
Zn 0.6667 0.3333 0.8361
Zn 0.0000 0.0000 0.5000
Y 0.6667 0.3333 0.3399
Y 0.3333 0.6667 0.6601
Th 0.0000 0.0000 0.0000
CELL_PARAMETERS angstrom
-1.2789 0.9040 -4.8748
4.8148 -1.2722 1.1899
-1.4092 -6.0340 -0.7492
! - total moment (μB per cell) = 0.00
! - SG = No. 164
! - ΔE_f (eV per atom) = -0.287
! - density (kg/m3) = 7102
! - energy above the lowest structure with this stoichiometry (meV per atom) = 4

! YThZn2, relaxed, DFT PBE; values from VASP
&SYSTEM
  ibrav = 0, nat = 8, ntyp = 3
/
ATOMIC_SPECIES
Zn 65.41 Zn.upf
Th 232.04 Th.upf
Y 88.91 Y.upf
ATOMIC_POSITIONS crystal
Zn 0.0000 0.7500 0.3593
Zn 0.0000 0.2500 0.1235
Zn 0.0000 0.7500 0.8765
Zn 0.0000 0.2500 0.6407
Th 0.5000 0.2500 0.3793
Th 0.5000 0.7500 0.6207
Y 0.5000 0.2500 0.8793
Y 0.5000 0.7500 0.1207
CELL_PARAMETERS angstrom
-2.2980 0.7724 -2.6749
3.0696 -2.3780 -3.3237
-4.9910 -8.8596 1.7295
! - total moment (μB per cell) = 0.00
! - SG = No. 51
! - ΔE_f (eV per atom) = -0.259
! - density (kg/m3) = 7883
! - energy above the lowest structure with this stoichiometry (meV per atom) = 1

! Y3ThZn4, relaxed, DFT PBE; values from VASP
&SYSTEM
  ibrav = 0, nat = 8, ntyp = 3
/
ATOMIC_SPECIES
Th 232.04 Th.upf
Zn 65.41 Zn.upf
Y 88.91 Y.upf
ATOMIC_POSITIONS crystal
Th 0.0000 0.0000 0.0000
Zn 0.5001 0.5001 0.5001
Zn 0.0000 0.0000 0.4999
Zn 0.4999 0.0000 0.0000
Zn 0.0000 0.4999 0.0000
Y 0.5000 0.5000 0.0000
Y 0.0000 0.5000 0.5000
Y 0.5000 0.0000 0.5000
CELL_PARAMETERS angstrom
0.9361 5.0235 -3.5782
3.4514 -4.7408 -2.1277
-6.0326 -1.5793 -0.1701
! - total moment (μB per cell) = 0.00
! - SG = No. 229
! - ΔE_f (eV per atom) = -0.300
! - density (kg/m3) = 6757

! Y2ThZn3, relaxed, DFT PBE; values from VASP
&SYSTEM
  ibrav = 0, nat = 6, ntyp = 3
/
ATOMIC_SPECIES
Zn 65.41 Zn.upf
Y 88.91 Y.upf
Th 232.04 Th.upf
ATOMIC_POSITIONS crystal
Zn 0.0000 0.0000 0.3206
Zn 0.0000 0.0000 0.0000
Zn 0.0000 0.0000 0.6794
Y 0.5000 0.5000 0.1631
Y 0.5000 0.5000 0.8369
Th 0.5000 0.5000 0.5000
CELL_PARAMETERS angstrom
3.5877 0.0000 0.0000
0.0000 3.5877 0.0000
0.0000 0.0000 10.9479
! - total moment (μB per cell) = 0.00
! - SG = No. 123
! - ΔE_f (eV per atom) = -0.291
! - density (kg/m3) = 7142
! - energy above the lowest structure with this stoichiometry (meV per atom) = 0

! Y2ThZn, relaxed, DFT PBE; values from VASP
&SYSTEM
  ibrav = 0, nat = 4, ntyp = 3
/
ATOMIC_SPECIES
Th 232.04 Th.upf
Zn 65.41 Zn.upf
Y 88.91 Y.upf
ATOMIC_POSITIONS crystal
Th 0.5000 0.5000 0.5000
Zn 0.5000 0.5000 0.0000
Y 0.0000 0.0000 0.2101
Y 0.0000 0.0000 0.7899
CELL_PARAMETERS angstrom
3.5715 0.0000 0.0000
0.0000 3.5715 0.0000
0.0000 0.0000 8.6044
! - total moment (μB per cell) = 0.00
! - SG = No. 123
! - ΔE_f (eV per atom) = -0.170
! - density (kg/m3) = 7191
! - energy above the lowest structure with this stoichiometry (meV per atom) = 0

! Y2ThZn, relaxed, DFT PBE; values from VASP
&SYSTEM
  ibrav = 0, nat = 4, ntyp = 3
/
ATOMIC_SPECIES
Y 88.91 Y.upf
Zn 65.41 Zn.upf
Th 232.04 Th.upf
ATOMIC_POSITIONS crystal
Y 0.2602 0.2602 0.2193
Y 0.7398 0.7398 0.7807
Zn 0.0000 0.0000 0.0000
Th 0.5000 0.5000 0.5000
CELL_PARAMETERS angstrom
-1.7944 -0.0460 3.1228
-1.9469 -2.8887 0.9160
6.9133 -5.0100 5.9759
! - total moment (μB per cell) = 0.00
! - SG = No. 166
! - ΔE_f (eV per atom) = -0.069
! - density (kg/m3) = 6878
! - energy above the lowest structure with this stoichiometry (meV per atom) = 101

! Y4ThZn, relaxed, DFT PBE; values from VASP
&SYSTEM
  ibrav = 0, nat = 6, ntyp = 3
/
ATOMIC_SPECIES
Th 232.04 Th.upf
Y 88.91 Y.upf
Zn 65.41 Zn.upf
ATOMIC_POSITIONS crystal
Th 0.0000 0.0000 0.0000
Y 0.0000 0.0000 0.6271
Y 0.5000 0.5000 0.8225
Y 0.0000 0.0000 0.3729
Y 0.5000 0.5000 0.1775
Zn 0.5000 0.5000 0.5000
CELL_PARAMETERS angstrom
-1.0254 -3.4273 -0.2990
3.0133 -0.7442 -1.8038
6.3518 -2.9317 11.8203
! - total moment (μB per cell) = 0.00
! - SG = No. 123
! - ΔE_f (eV per atom) = -0.105
! - density (kg/m3) = 6126

! YThZn, relaxed, DFT PBE; values from VASP
&SYSTEM
  ibrav = 0, nat = 3, ntyp = 3
/
ATOMIC_SPECIES
Th 232.04 Th.upf
Zn 65.41 Zn.upf
Y 88.91 Y.upf
ATOMIC_POSITIONS crystal
Th 0.3188 0.3188 0.6377
Zn 0.6609 0.6609 0.3218
Y 0.0203 0.0203 0.0406
CELL_PARAMETERS angstrom
-1.5531 2.1819 -2.3705
-3.1175 -1.6819 0.4945
0.8981 3.7819 5.5906
! - total moment (μB per cell) = 0.00
! - SG = No. 107
! - ΔE_f (eV per atom) = -0.143
! - density (kg/m3) = 7933
! - energy above the lowest structure with this stoichiometry (meV per atom) = 0

! YThZn2, relaxed, DFT PBE; values from VASP
&SYSTEM
  ibrav = 0, nat = 4, ntyp = 3
/
ATOMIC_SPECIES
Zn 65.41 Zn.upf
Y 88.91 Y.upf
Th 232.04 Th.upf
ATOMIC_POSITIONS crystal
Zn 0.7500 0.7500 0.7500
Zn 0.2500 0.2500 0.2500
Y 0.5000 0.5000 0.5000
Th 0.0000 0.0000 0.0000
CELL_PARAMETERS angstrom
5.1357 0.0000 0.0000
2.5678 4.4476 0.0000
2.5678 1.4825 4.1933
! - total moment (μB per cell) = 0.00
! - SG = No. 225
! - ΔE_f (eV per atom) = -0.249
! - density (kg/m3) = 7832
! - energy above the lowest structure with this stoichiometry (meV per atom) = 11